BaBeP2 meta-GGA SCAN single point on PBEsol structure; polymorph energy (0 for the lowest one) = 0.00 eV/f.u.; total DFT energy (no corrections) = -16.07 eV/atom; N(E_F) = 1.2 states/eV/f.u.; formation enthalpy at 0 K = 0.104 eV/atom; ρ = 4.49 g/cm³
1.0
3.427 0.000 0.000
0.000 3.427 0.000
0.000 0.000 6.560
Ba Be P
1 1 2
Cartesian
0.000 0.000 0.000
1.713 1.713 2.249
0.000 0.000 3.267
1.713 1.713 4.287



BePb2Br meta-GGA SCAN single point on PBEsol structure; raw formation energy = 0.35 eV/atom; polymorph energy (0 for the lowest one) = 0.65 eV/f.u.; total DFT energy (no corrections) = -43.49 eV/atom; N(E_F) = 1.8 states/eV/f.u.; ρ = 8.13 g/cm³
1.0
3.497 0.000 0.000
0.000 4.870 0.000
0.000 0.000 6.034
Be Pb Br
1 2 1
Cartesian
0.000 0.000 0.000
0.000 2.435 3.017
1.749 2.435 0.000
1.749 0.000 3.017



RbPrP3HO10 meta-GGA SCAN single point on PBEsol structure; total DFT energy (no corrections) = -12.73 eV/atom; N(E_F) = 0.0 states/eV/f.u.; ρ = 3.59 g/cm³
1.0
7.071 0.000 0.000
0.956 7.781 0.000
2.322 2.040 8.085
Rb Pr P H O
2 2 6 2 20
Cartesian
1.701 1.744 0.227
8.648 8.077 7.859
2.922 2.071 4.117
7.428 7.750 3.969
3.046 5.532 5.163
3.847 6.974 2.785
4.926 7.391 6.578
5.423 2.430 1.507
6.502 2.847 5.300
7.303 4.289 2.923
3.097 5.691 0.646
7.252 4.129 7.439
1.392 3.364 2.709
2.671 7.949 3.010
2.879 4.066 5.448
4.032 8.527 6.121
2.455 5.113 0.028
3.554 5.622 3.642
4.299 5.981 6.050
4.014 6.523 1.358
3.983 2.385 1.957
5.072 7.629 3.429
5.277 2.192 4.656
6.367 7.436 6.128
6.335 3.298 6.727
6.050 3.839 2.035
6.795 4.199 4.443
7.894 4.708 8.057
6.317 1.293 1.965
7.470 5.755 2.637
7.678 1.871 5.075
8.957 6.456 5.376



Zn2CrPt meta-GGA SCAN single point on PBEsol structure; total DFT energy (no corrections) = -29.36 eV/atom; N(E_F) = 1.1 states/eV/f.u.; formation enthalpy at 0 K = -0.456 eV/atom; ρ = 11.34 g/cm³
1.0
-1.968 1.968 3.574
1.968 -1.968 3.574
1.968 1.968 -3.574
Zn Cr Pt
2 1 1
Cartesian
1.968 0.000 1.787
0.000 1.968 1.787
0.000 0.000 0.000
0.000 0.000 3.574



KTa2Te meta-GGA SCAN single point on PBEsol structure; raw formation energy = 1.13 eV/atom; total DFT energy (no corrections) = -43.56 eV/atom; N(E_F) = 3.9 states/eV/f.u.; ρ = 10.12 g/cm³
1.0
4.158 0.000 0.000
0.000 4.158 0.000
0.000 0.000 5.018
K Ta Te
1 2 1
Cartesian
0.000 0.000 0.000
0.000 2.079 2.509
2.079 0.000 2.509
2.079 2.079 0.000



CaNb2InB meta-GGA SCAN single point on PBEsol structure; total DFT energy (no corrections) = -21.18 eV/atom; N(E_F) = 4.5 states/eV/f.u.; formation enthalpy at 0 K = 2.169 eV/atom; ρ = 4.22 g/cm³
1.0
5.069 0.000 0.000
0.000 5.069 0.000
0.000 0.000 5.379
Ca Nb In B
1 2 1 1
Cartesian
0.000 0.000 0.000
0.000 2.535 2.689
2.535 0.000 2.689
0.000 0.000 2.689
2.535 2.535 0.000



SrBeW2 meta-GGA SCAN single point on PBEsol structure; total DFT energy (no corrections) = -40.33 eV/atom; N(E_F) = 2.8 states/eV/f.u.; formation enthalpy at 0 K = 1.169 eV/atom; ρ = 11.39 g/cm³
1.0
1.405 0.811 9.909
-1.405 0.811 9.909
0.000 -1.622 9.909
Sr Be W
1 1 2
Cartesian
0.000 0.000 0.000
0.000 0.000 14.863
0.000 0.000 6.988
0.000 0.000 22.738



SnPtIO2 meta-GGA SCAN single point on PBEsol structure; raw formation energy = -0.25 eV/atom; total DFT energy (no corrections) = -31.31 eV/atom; N(E_F) = 2.2 states/eV/f.u.; ρ = 7.91 g/cm³
1.0
3.864 0.000 0.000
0.000 3.864 0.000
0.000 0.000 6.652
Sn Pt I O
1 1 1 2
Cartesian
0.000 0.000 0.000
1.932 1.932 3.326
0.000 0.000 3.326
0.000 1.932 0.000
1.932 0.000 0.000



ScSiAs meta-GGA SCAN single point on PBEsol structure; raw formation energy = -0.09 eV/atom; total DFT energy (no corrections) = -14.91 eV/atom; N(E_F) = 2.0 states/eV/f.u.; ρ = 3.95 g/cm³
1.0
0.000 3.144 3.144
3.144 0.000 3.144
3.144 3.144 0.000
Sc Si As
1 1 1
Cartesian
0.000 0.000 0.000
1.572 1.572 1.572
4.716 4.716 4.716



Te3HPt meta-GGA SCAN single point on PBEsol structure; total DFT energy (no corrections) = -36.25 eV/atom; N(E_F) = 3.3 states/eV/f.u.; ρ = 10.07 g/cm³
1.0
4.570 0.000 0.000
0.000 4.570 0.000
0.000 0.000 4.570
Te H Pt
3 1 1
Cartesian
0.000 0.000 2.285
0.000 2.285 0.000
2.285 0.000 0.000
0.000 0.000 0.000
2.285 2.285 2.285



YTa3Co meta-GGA SCAN single point on PBEsol structure; total DFT energy (no corrections) = -46.23 eV/atom; N(E_F) = 5.4 states/eV/f.u.; formation enthalpy at 0 K = 2.746 eV/atom; ρ = 10.62 g/cm³
1.0
4.762 0.000 0.000
0.000 4.762 0.000
0.000 0.000 4.762
Y Ta Co
1 3 1
Cartesian
0.000 0.000 0.000
0.000 0.000 2.381
0.000 2.381 0.000
2.381 0.000 0.000
2.381 2.381 2.381



HfMn2Co2 meta-GGA SCAN single point on PBEsol structure; total DFT energy (no corrections) = -26.70 eV/atom; N(E_F) = 3.7 states/eV/f.u.; formation enthalpy at 0 K = 0.056 eV/atom; ρ = 10.66 g/cm³
1.0
-1.852 1.852 4.612
1.852 -1.852 4.612
1.852 1.852 -4.612
Hf Mn Co
1 2 2
Cartesian
0.000 0.000 0.000
0.000 0.000 3.645
0.000 0.000 5.580
1.852 0.000 2.306
0.000 1.852 2.306



Cd2AsRu meta-GGA SCAN single point on PBEsol structure; total DFT energy (no corrections) = -28.64 eV/atom; N(E_F) = 3.1 states/eV/f.u.; formation enthalpy at 0 K = 0.320 eV/atom; ρ = 9.56 g/cm³
1.0
2.635 -4.147 0.000
2.635 4.147 0.000
0.000 0.000 3.187
Cd As Ru
2 1 1
Cartesian
1.317 2.073 0.000
1.317 -2.073 0.000
0.000 0.000 1.594
2.635 0.000 1.594



LiCrPb2 meta-GGA SCAN single point on PBEsol structure; total DFT energy (no corrections) = -43.16 eV/atom; N(E_F) = 1.2 states/eV/f.u.; formation enthalpy at 0 K = -0.078 eV/atom; ρ = 9.09 g/cm³
1.0
3.465 0.000 0.000
0.000 3.465 0.000
0.000 0.000 7.204
Li Cr Pb
1 1 2
Cartesian
0.000 0.000 0.000
0.000 0.000 3.602
1.732 1.732 1.864
1.732 1.732 5.341



Zn2PRu meta-GGA SCAN single point on PBEsol structure; total DFT energy (no corrections) = -17.83 eV/atom; N(E_F) = 3.2 states/eV/f.u.; formation enthalpy at 0 K = 0.235 eV/atom; ρ = 8.19 g/cm³
1.0
0.000 2.987 2.987
2.987 0.000 2.987
2.987 2.987 0.000
Zn P Ru
2 1 1
Cartesian
0.000 0.000 0.000
1.494 1.494 1.494
2.987 2.987 2.987
4.481 4.481 4.481



Ta3CdRh meta-GGA SCAN single point on PBEsol structure; total DFT energy (no corrections) = -51.75 eV/atom; N(E_F) = 4.0 states/eV/f.u.; formation enthalpy at 0 K = 1.040 eV/atom; ρ = 11.69 g/cm³
1.0
4.757 0.000 0.000
0.000 4.757 0.000
0.000 0.000 4.757
Ta Cd Rh
3 1 1
Cartesian
0.000 0.000 2.379
0.000 2.379 0.000
2.379 0.000 0.000
2.379 2.379 2.379
0.000 0.000 0.000



YTc2W meta-GGA SCAN single point on PBEsol structure; total DFT energy (no corrections) = -41.94 eV/atom; N(E_F) = 2.8 states/eV/f.u.; formation enthalpy at 0 K = -0.026 eV/atom; ρ = 11.49 g/cm³
1.0
3.165 0.000 0.000
0.000 3.165 0.000
0.000 0.000 6.764
Y Tc W
1 2 1
Cartesian
0.000 0.000 0.000
1.583 1.583 1.917
1.583 1.583 4.847
0.000 0.000 3.382



Ba2U2O7 meta-GGA SCAN single point on PBEsol structure; raw formation energy = -3.46 eV/atom; total DFT energy (no corrections) = -33.43 eV/atom; ρ = 7.66 g/cm³
1.0
-4.064 5.632 4.087
4.064 -5.632 4.087
4.064 5.632 -4.087
Ba U O
4 4 14
Cartesian
0.000 0.000 0.000
-2.032 2.816 2.044
0.000 5.632 0.000
2.032 2.816 2.044
2.032 2.816 -2.044
2.032 -2.816 2.044
4.064 0.000 0.000
0.000 0.000 4.087
2.402 1.337 -0.547
5.726 1.337 -0.547
4.064 -2.816 2.774
4.064 1.060 1.755
2.402 4.295 -0.547
1.662 -1.337 3.540
0.000 1.060 2.332
4.064 4.572 1.755
2.402 6.969 0.547
1.662 1.337 4.635
0.000 4.572 2.332
0.000 8.448 1.314
-1.662 4.295 4.635
1.662 4.295 4.635



TaSiTe meta-GGA SCAN single point on PBEsol structure; raw formation energy = 0.48 eV/atom; total DFT energy (no corrections) = -37.47 eV/atom; N(E_F) = 1.2 states/eV/f.u.; ρ = 9.77 g/cm³
1.0
4.786 0.000 0.000
-2.393 4.145 0.000
0.000 0.000 2.885
Ta Si Te
1 1 1
Cartesian
0.000 0.000 0.000
2.393 1.382 1.442
0.000 2.763 0.000



InPtCl2 meta-GGA SCAN single point on PBEsol structure; raw formation energy = 0.28 eV/atom; polymorph energy (0 for the lowest one) = 2.52 eV/f.u.; total DFT energy (no corrections) = -29.60 eV/atom; N(E_F) = 2.6 states/eV/f.u.; ρ = 8.18 g/cm³
1.0
4.885 0.000 0.000
0.000 4.885 0.000
0.000 0.000 3.240
In Pt Cl
1 1 2
Cartesian
0.000 0.000 0.000
2.442 2.442 0.000
0.000 2.442 1.620
2.442 0.000 1.620